The following is a DFT calculation (PBE) of a geometry-optimized SrCoTc structure.

a b c (Å): 4.826 3.929 7.805
angles (deg): 90.00 96.99 90.00
Space group P2_1/m (No. 11)
One atom of each set of equivalent atoms:
Sr: 0.218 0.250 0.322 (multiplicity 2)
Co: 0.132 0.750 0.025 (multiplicity 2)
Tc: 0.356 0.250 0.920 (multiplicity 2)

* D(E_F): 3.5 states/eV/f.u.
* total moment: 0.00 μB/atom
* volume: 146.9 Å³/cell
* polymorph energy (0 for the lowest one): 18.6 meV per atom
* E_form: 28 kJ per mole of atoms